An optimized crystal structure of Dy3Zn3Hg, computed with PBE-GGA.

Its total DFT energy (no corrections) is -2.8892 eV/atom. The calculation puts the density of states at the Fermi level at 15.3 states/eV per cell.

It has space group Imm2 (No. 44), with a = 3.625 Å, b = 4.517 Å, c = 19.654 Å, α = 90.00°, β = 90.00° and γ = 90.00°. The inequivalent atoms are Dy at (0.000, 0.000, 0.000), Dy at (0.000, 0.000, 0.391), Dy at (0.000, 0.500, 0.188), Zn at (0.000, 0.000, 0.553), Zn at (0.000, 0.000, 0.841), Zn at (0.000, 0.500, 0.623) and Hg at (0.000, 0.500, 0.759).



An optimized crystal structure of Th4PdCS2, computed with PBE-GGA.

Its total DFT energy (no corrections) is -7.6639 eV/atom. The calculation puts the density of states at the Fermi level at 5.7 states/eV per cell. The value obtained for the uncorrected formation energy is -1.12 eV per atom.

It has space group P2/m (No. 10), with a = 7.001 Å, b = 3.957 Å, c = 7.141 Å, α = 90.00°, β = 108.48° and γ = 90.00°. The inequivalent atoms are Th at (0.226, 0.000, 0.219), Th at (0.239, 0.500, 0.771), Pd at (0.000, 0.000, 0.500), C at (0.000, 0.500, 0.000), S at (0.500, 0.000, 0.000) and S at (0.500, 0.500, 0.500).



An optimized crystal structure of Ba2LaAu, computed with PBE-GGA.

Its total DFT energy (no corrections) is -3.2612 eV/atom. The calculation puts the density of states at the Fermi level at 12.8 states/eV per cell.

It has space group Immm (No. 71), with a = 4.010 Å, b = 4.672 Å, c = 19.119 Å, α = 90.00°, β = 90.00° and γ = 90.00°. The inequivalent atoms are Ba at (0.000, 0.000, 0.160), La at (0.000, 0.500, 0.000) and Au at (0.000, 0.500, 0.500).



An optimized crystal structure of CrSb2W, computed with PBE-GGA.

Its total DFT energy (no corrections) is -7.1754 eV/atom. The calculation puts the density of states at the Fermi level at 3.0 states/eV per cell. The value obtained for the uncorrected formation energy is 0.53 eV per atom.

It has space group P4/mmm (No. 123), with a = 4.689 Å, b = 4.689 Å, c = 3.316 Å, α = 90.00°, β = 90.00° and γ = 90.00°. The inequivalent atoms are Cr at (0.000, 0.000, 0.000), Sb at (0.000, 0.500, 0.500) and W at (0.500, 0.500, 0.000).



An optimized crystal structure of Sr2HfCrRe, computed with PBE-GGA.

Its total DFT energy (no corrections) is -5.6395 eV/atom. The calculation puts the density of states at the Fermi level at 10.0 states/eV per cell.

It has space group P4/mmm (No. 123), with a = 5.854 Å, b = 5.854 Å, c = 4.576 Å, α = 90.00°, β = 90.00° and γ = 90.00°. The inequivalent atoms are Sr at (0.000, 0.500, 0.000), Hf at (0.000, 0.000, 0.500), Cr at (0.500, 0.500, 0.500) and Re at (0.500, 0.500, 0.000).



An optimized crystal structure of Cs3Cu2PbBr9, computed with PBE-GGA.

Its total DFT energy (no corrections) is -2.9714 eV/atom. The calculation puts the density of states at the Fermi level at 7.1 states/eV per cell. The value obtained for the uncorrected formation energy is -1.00 eV per atom.

It has space group P-3m1 (No. 164), with a = 7.7353 Å, b = 7.7353 Å, c = 9.5286 Å, α = 90.00°, β = 90.00° and γ = 120.00°. The inequivalent atoms are Cs at (0.0000, 0.0000, 0.0000), Cs at (0.3333, 0.6667, 0.6734), Cu at (0.3333, 0.6667, 0.1498), Pb at (0.0000, 0.0000, 0.5000), Br at (0.0000, 0.5000, 0.0000) and Br at (0.1768, 0.3535, 0.3176).



An optimized crystal structure of Dy6Al2SiS14, computed with PBE-GGA.

Its total DFT energy (no corrections) is -5.9543 eV/atom. The calculation puts the density of states at the Fermi level at 0.0 states/eV per cell. The value obtained for the uncorrected formation energy is -1.68 eV per atom.

It has space group P3 (No. 143), with a = 9.7205 Å, b = 9.7205 Å, c = 5.9151 Å, α = 90.00°, β = 90.00° and γ = 120.00°. The inequivalent atoms are Dy at (0.0346, 0.5541, 0.0000), Dy at (0.2996, 0.1051, 0.5157), Al at (0.3333, 0.6667, 0.5862), Al at (0.6667, 0.3333, 0.6946), Si at (0.0000, 0.0000, 0.0928), S at (0.0000, 0.0000, 0.7326), S at (0.0847, 0.8547, 0.2389), S at (0.1860, 0.4241, 0.7431), S at (0.3333, 0.6667, 0.2108), S at (0.4306, 0.1952, 0.9306) and S at (0.5180, 0.4285, 0.4650).



An optimized crystal structure of YInOs2, computed with PBE-GGA.

Its total DFT energy (no corrections) is -7.4839 eV/atom. The calculation puts the density of states at the Fermi level at 4.3 states/eV per cell.

It has space group Pmmm (No. 47), with a = 3.370 Å, b = 4.426 Å, c = 4.976 Å, α = 90.00°, β = 90.00° and γ = 90.00°. The inequivalent atoms are Y at (0.000, 0.000, 0.000), In at (0.500, 0.000, 0.500), Os at (0.000, 0.500, 0.500) and Os at (0.500, 0.500, 0.000).



An optimized crystal structure of Y4InAu3, computed with PBE-GGA.

Its total DFT energy (no corrections) is -5.5517 eV/atom. The calculation puts the density of states at the Fermi level at 10.9 states/eV per cell.

It has space group Pmma (No. 51), with a = 10.286 Å, b = 7.371 Å, c = 5.141 Å, α = 90.00°, β = 90.00° and γ = 90.00°. The inequivalent atoms are Y at (0.000, 0.241, 0.000), Y at (0.250, 0.241, 0.499), In at (0.000, 0.500, 0.500), Au at (0.000, 0.000, 0.500), Au at (0.250, 0.000, 0.999) and Au at (0.250, 0.500, 0.998).



An optimized crystal structure of CaCdRuO2, computed with PBE-GGA.

Its total DFT energy (no corrections) is -3.7477 eV/atom. The calculation puts the density of states at the Fermi level at 4.2 states/eV per cell. The value obtained for the uncorrected formation energy is 0.67 eV per atom.

It has space group P4/mmm (No. 123), with a = 4.219 Å, b = 4.219 Å, c = 5.504 Å, α = 90.00°, β = 90.00° and γ = 90.00°. The inequivalent atoms are Ca at (0.000, 0.000, 0.000), Cd at (0.000, 0.000, 0.500), Ru at (0.500, 0.500, 0.000) and O at (0.000, 0.500, 0.500).



An optimized crystal structure of BaRhPb2, computed with PBE-GGA.

Its total DFT energy (no corrections) is -4.3970 eV/atom. The calculation puts the density of states at the Fermi level at 4.7 states/eV per cell.

It has space group Immm (No. 71), with a = 3.556 Å, b = 5.863 Å, c = 10.963 Å, α = 90.00°, β = 90.00° and γ = 90.00°. The inequivalent atoms are Ba at (0.000, 0.000, 0.000), Rh at (0.000, 0.000, 0.500) and Pb at (0.000, 0.500, 0.201).



An optimized crystal structure of ZrAl3Cl, computed with PBE-GGA.

Its total DFT energy (no corrections) is -3.4642 eV/atom. The calculation puts the density of states at the Fermi level at 4.5 states/eV per cell. The value obtained for the uncorrected formation energy is 0.86 eV per atom.

It has space group Pm-3m (No. 221), with a = 5.477 Å, b = 5.477 Å, c = 5.477 Å, α = 90.00°, β = 90.00° and γ = 90.00°. The inequivalent atoms are Zr at (0.000, 0.000, 0.000), Al at (0.000, 0.000, 0.500) and Cl at (0.500, 0.500, 0.500).



An optimized crystal structure of Pr2Zn2AgPd5, computed with PBE-GGA.

Its total DFT energy (no corrections) is -4.6527 eV/atom. The calculation puts the density of states at the Fermi level at 7.5 states/eV per cell.

It has space group P4/mbm (No. 127), with a = 9.807 Å, b = 9.807 Å, c = 3.890 Å, α = 90.00°, β = 90.00° and γ = 90.00°. The inequivalent atoms are Pr at (0.181, 0.319, 0.000), Zn at (0.116, 0.616, 0.000), Ag at (0.000, 0.000, 0.000), Pd at (0.000, 0.500, 0.500) and Pd at (0.065, 0.792, 0.500).



An optimized crystal structure of Pm3BiRh, computed with PBE-GGA.

Its total DFT energy (no corrections) is -5.7634 eV/atom. The calculation puts the density of states at the Fermi level at 8.6 states/eV per cell.

It has space group P2_1/m (No. 11), with a = 8.097 Å, b = 4.568 Å, c = 8.711 Å, α = 90.00°, β = 114.10° and γ = 90.00°. The inequivalent atoms are Pm at (0.042, 0.250, 0.246), Pm at (0.328, 0.750, 0.592), Pm at (0.331, 0.250, 0.925), Bi at (0.324, 0.750, 0.201) and Rh at (0.080, 0.250, 0.602).



An optimized crystal structure of Hf2PaIr, computed with PBE-GGA.

Its total DFT energy (no corrections) is -9.9715 eV/atom. The calculation puts the density of states at the Fermi level at 6.2 states/eV per cell.

It has space group P4/mmm (No. 123), with a = 3.304 Å, b = 3.304 Å, c = 7.655 Å, α = 90.00°, β = 90.00° and γ = 90.00°. The inequivalent atoms are Hf at (0.000, 0.000, 0.210), Pa at (0.500, 0.500, 0.500) and Ir at (0.500, 0.500, 0.000).



An optimized crystal structure of FeCoPb2, computed with PBE-GGA.

Its total DFT energy (no corrections) is -5.0825 eV/atom. The calculation puts the density of states at the Fermi level at 8.6 states/eV per cell.

It has space group C2/m (No. 12), with a = 8.376 Å, b = 3.277 Å, c = 5.847 Å, α = 90.00°, β = 103.23° and γ = 90.00°. The inequivalent atoms are Fe at (0.000, 0.000, 0.000), Co at (0.000, 0.500, 0.500) and Pb at (0.246, 0.000, 0.743).



An optimized crystal structure of ZrTe2Br, computed with PBE-GGA.

Its total DFT energy (no corrections) is -4.6997 eV/atom. The calculation puts the density of states at the Fermi level at 9.5 states/eV per cell. The value obtained for the uncorrected formation energy is -0.57 eV per atom.

It has space group R-3m (No. 166, hexagonal axes), with a = 3.8935 Å, b = 3.8935 Å, c = 26.6432 Å, α = 90.00°, β = 90.00° and γ = 120.00°. The inequivalent atoms are Zr at (0.0000, 0.0000, 0.0000), Te at (0.0000, 0.0000, 0.2636) and Br at (0.0000, 0.0000, 0.5000).



An optimized crystal structure of TbThCd17, computed with PBE-GGA.

Its total DFT energy (no corrections) is -1.5396 eV/atom. The calculation puts the density of states at the Fermi level at 18.2 states/eV per cell.

It has space group R3m (No. 160, hexagonal axes), with a = 10.0696 Å, b = 10.0696 Å, c = 14.9284 Å, α = 90.00°, β = 90.00° and γ = 120.00°. The inequivalent atoms are Tb at (0.0000, 0.0000, 0.0000), Th at (0.0000, 0.0000, 0.3370), Cd at (0.0000, 0.0000, 0.5674), Cd at (0.0000, 0.0000, 0.7713), Cd at (0.0014, 0.3016, 0.6689), Cd at (0.0114, 0.5057, 0.8152), Cd at (0.1674, 0.3348, 0.5020) and Cd at (0.1761, 0.3523, 0.8556).



An optimized crystal structure of AgSn2Ge, computed with PBE-GGA.

Its total DFT energy (no corrections) is -3.6319 eV/atom. The calculation puts the density of states at the Fermi level at 4.1 states/eV per cell.

It has space group R-3m (No. 166, hexagonal axes), with a = 3.1530 Å, b = 3.1530 Å, c = 33.4679 Å, α = 90.00°, β = 90.00° and γ = 120.00°. The inequivalent atoms are Ag at (0.0000, 0.0000, 0.0000), Sn at (0.0000, 0.0000, 0.0859) and Ge at (0.0000, 0.0000, 0.5000).



An optimized crystal structure of Cs3NpTe6Pb2, computed with PBE-GGA.

Its total DFT energy (no corrections) is -4.2216 eV/atom. The calculation puts the density of states at the Fermi level at 16.4 states/eV per cell. The value obtained for the uncorrected formation energy is -0.74 eV per atom.

It has space group C2/m (No. 12), with a = 8.208 Å, b = 14.184 Å, c = 9.171 Å, α = 90.00°, β = 107.23° and γ = 90.00°. The inequivalent atoms are Cs at (0.000, 0.000, 0.000), Cs at (0.000, 0.324, 0.000), Np at (0.000, 0.500, 0.500), Te at (0.217, 0.345, 0.689), Te at (0.243, 0.500, 0.307) and Pb at (0.000, 0.165, 0.500).